Here is a relaxed structure of TaBeHg2 from Alexandria via LeMat-Bulk. Energies are from GGA-PBE.

POSCAR file:
```
TaBeHg2
1.0
5.2205 -0.0059 0.0000
-2.0747 4.7906 0.0000
0.0000 0.0000 2.9278
Hg Be Ta
2 1 1
Cartesian
1.5729 2.3923 0.0000
0.0000 0.0000 0.0000
-1.0373 2.3953 1.4639
2.6103 -0.0030 1.4639
```

**Symmetry**: Cmmm (65)
**Crystal system**: orthorhombic
**Magnetization**: 0.00 μB/cell
**DOS(E_F)**: 3.26 states/eV per cell
**Energy relative to the elements**: 2.36 eV per formula unit



Here is a relaxed structure of TaBeHg from Alexandria via LeMat-Bulk. Energies are from GGA-PBE.

POSCAR file:
```
TaBeHg
1.0
-5.3702 -0.4192 2.3342
-4.2611 -3.1228 2.5595
0.4162 0.4110 2.8720
Hg Be Ta
1 1 1
Cartesian
-3.1254 -0.9823 3.5846
-9.6286 -3.5409 4.8932
-6.0925 -2.1497 4.1817
```

**Symmetry**: I4mm (107)
**Crystal system**: tetragonal
**Magnetization**: 0.00 μB/cell
**DOS(E_F)**: 1.21 states/eV per cell
**Energy relative to the elements**: 0.80 eV per formula unit



Here is a relaxed structure of Ta2BeHg from Alexandria via LeMat-Bulk. Energies are from GGA-PBE.

POSCAR file:
```
Ta2BeHg
1.0
2.8642 0.0000 0.0000
0.0000 2.8642 0.0000
0.0000 0.0000 8.0749
Ta Hg Be
2 1 1
Cartesian
1.4321 1.4321 2.3399
0.0000 0.0000 8.0698
1.4321 1.4321 5.7464
0.0000 0.0000 4.0296
```

**Symmetry**: P4mm (99)
**Crystal system**: tetragonal
**Magnetization**: 0.00 μB/cell
**DOS(E_F)**: 2.46 states/eV per cell
**Energy relative to the elements**: 0.98 eV per formula unit



Here is a relaxed structure of TaBeHg2 from Alexandria via LeMat-Bulk. Energies are from GGA-PBE.

POSCAR file:
```
TaBeHg2
1.0
-4.0373 -0.8405 -0.9415
1.1385 -1.3307 -3.6941
0.4378 -3.7793 1.4963
Hg Be Ta
2 1 1
Cartesian
0.0000 0.0000 0.0000
0.7882 -2.5550 -1.0989
-1.7997 -2.3099 0.2774
-1.4494 -1.0856 -2.3178
```

**Symmetry**: P4/mmm (123)
**Crystal system**: tetragonal
**Magnetization**: 0.00 μB/cell
**DOS(E_F)**: 1.60 states/eV per cell
**Energy relative to the elements**: 2.01 eV per formula unit



Here is a relaxed structure of Ta2BeTlHg from Alexandria via LeMat-Bulk. Energies are from GGA-PBE.

POSCAR file:
```
Ta2BeTlHg
1.0
5.2082 0.0000 0.0000
0.0000 5.1944 0.0000
0.0000 0.0000 5.2082
Tl Be Ta Hg
1 1 2 1
Cartesian
0.0000 0.0000 0.0000
2.6041 2.5972 2.6041
0.0000 0.0000 2.6041
2.6041 0.0000 0.0000
0.0000 2.5972 0.0000
```

**Symmetry**: P4/mmm (123)
**Crystal system**: tetragonal
**Magnetization**: 1.92 μB/cell
**DOS(E_F)**: 6.42 states/eV per cell
**Energy relative to the elements**: 12.59 eV per formula unit



Here is a relaxed structure of TaBe2VHg from Alexandria via LeMat-Bulk. Energies are from GGA-PBE.

POSCAR file:
```
TaBe2VHg
1.0
4.4033 0.0000 0.0000
0.0000 5.1441 0.0000
0.0000 0.0000 4.4033
V Hg Be Ta
1 1 2 1
Cartesian
2.2016 2.5720 2.2016
0.0000 2.5720 0.0000
0.0000 0.0000 2.2016
2.2016 0.0000 0.0000
0.0000 0.0000 0.0000
```

**Symmetry**: P4/mmm (123)
**Crystal system**: tetragonal
**Magnetization**: 0.00 μB/cell
**DOS(E_F)**: 3.83 states/eV per cell
**Energy relative to the elements**: 9.02 eV per formula unit